No. 1
# YNiBiPt (PBE, optimized geometry)
# Crystal system: cubic
# Final energy: -0.444 Ry per atom
# Total magnetic moment: 0.02 μB/cell
data_YNiBiPt
_chemical_formula_sum 'Y4 Ni4 Bi4 Pt4'
_space_group_name_H-M_alt 'F -4 3 m'
_space_group_IT_number 216
_space_group_name_Hall 'F -4 2 3'
_cell_length_a 6.8437
_cell_length_b 6.8437
_cell_length_c 6.8437
_cell_angle_alpha 90.00
_cell_angle_beta 90.00
_cell_angle_gamma 90.00
loop_
_atom_site_label
_atom_site_fract_x
_atom_site_fract_y
_atom_site_fract_z
_atom_site_occupancy
Y1 0.0000 0.0000 0.0000 1
Ni1 0.2500 0.2500 0.7500 1
Bi1 0.0000 0.0000 0.5000 1
Pt1 0.2500 0.2500 0.2500 1

No. 2
# SmErNO (PBE, optimized geometry)
# Crystal system: orthorhombic
# Energy above the lowest structure with this stoichiometry: 29 meV per atom
# Total magnetic moment: 0.02 μB/cell
data_SmErNO
_chemical_formula_sum 'Sm2 Er2 N2 O2'
_space_group_name_H-M_alt 'P m m a'
_space_group_IT_number 51
_space_group_name_Hall '-P 2a 2a'
_cell_length_a 4.9063
_cell_length_b 3.9980
_cell_length_c 6.9253
_cell_angle_alpha 90.00
_cell_angle_beta 90.00
_cell_angle_gamma 90.00
loop_
_atom_site_label
_atom_site_fract_x
_atom_site_fract_y
_atom_site_fract_z
_atom_site_occupancy
Sm1 0.2500 0.0000 0.1645 1
Er1 0.2500 0.5000 0.6659 1
N1 0.2500 0.5000 0.3438 1
O1 0.2500 0.0000 0.8099 1

No. 3
# ScNiAsAu (PBE, optimized geometry)
# Crystal system: cubic
# Final energy: -0.398 Ry per atom
# Total magnetic moment: 0.02 μB/cell
data_ScNiAsAu
_chemical_formula_sum 'Sc4 Ni4 As4 Au4'
_space_group_name_H-M_alt 'F -4 3 m'
_space_group_IT_number 216
_space_group_name_Hall 'F -4 2 3'
_cell_length_a 6.4093
_cell_length_b 6.4093
_cell_length_c 6.4093
_cell_angle_alpha 90.00
_cell_angle_beta 90.00
_cell_angle_gamma 90.00
loop_
_atom_site_label
_atom_site_fract_x
_atom_site_fract_y
_atom_site_fract_z
_atom_site_occupancy
Sc1 0.0000 0.0000 0.0000 1
Ni1 0.0000 0.0000 0.5000 1
As1 0.2500 0.2500 0.2500 1
Au1 0.2500 0.2500 0.7500 1

No. 4
# Y3In3Ni2Pt (PBE, optimized geometry)
# Crystal system: hexagonal
# Final energy: -0.413 Ry per atom
# Total magnetic moment: 0.00 μB/cell
data_Y3In3Ni2Pt
_chemical_formula_sum 'Y3 In3 Ni2 Pt1'
_space_group_name_H-M_alt 'P -6 2 m'
_space_group_IT_number 189
_space_group_name_Hall 'P -6 -2'
_cell_length_a 7.4579
_cell_length_b 7.4579
_cell_length_c 3.9659
_cell_angle_alpha 90.00
_cell_angle_beta 90.00
_cell_angle_gamma 120.00
loop_
_atom_site_label
_atom_site_fract_x
_atom_site_fract_y
_atom_site_fract_z
_atom_site_occupancy
Y1 0.0000 0.5936 0.0000 1
In1 0.0000 0.2658 0.5000 1
Ni1 0.3333 0.6667 0.5000 1
Pt1 0.0000 0.0000 0.0000 1

No. 5
# LiSiTcTe (PBE, optimized geometry)
# Crystal system: cubic
# Energy above the lowest structure with this stoichiometry: 420 meV per atom
# Total magnetic moment: 1.71 μB/cell
data_LiSiTcTe
_chemical_formula_sum 'Li4 Si4 Tc4 Te4'
_space_group_name_H-M_alt 'F -4 3 m'
_space_group_IT_number 216
_space_group_name_Hall 'F -4 2 3'
_cell_length_a 6.3941
_cell_length_b 6.3941
_cell_length_c 6.3941
_cell_angle_alpha 90.00
_cell_angle_beta 90.00
_cell_angle_gamma 90.00
loop_
_atom_site_label
_atom_site_fract_x
_atom_site_fract_y
_atom_site_fract_z
_atom_site_occupancy
Li1 0.0000 0.0000 0.0000 1
Si1 0.0000 0.0000 0.5000 1
Tc1 0.2500 0.2500 0.7500 1
Te1 0.2500 0.2500 0.2500 1

No. 6
# MgNbGe (PBE, optimized geometry)
# Crystal system: cubic
# Final energy: -0.384 Ry per atom
# Total magnetic moment: 5.37 μB/cell
data_MgNbGe
_chemical_formula_sum 'Mg4 Nb4 Ge4'
_space_group_name_H-M_alt 'F -4 3 m'
_space_group_IT_number 216
_space_group_name_Hall 'F -4 2 3'
_cell_length_a 6.2239
_cell_length_b 6.2239
_cell_length_c 6.2239
_cell_angle_alpha 90.00
_cell_angle_beta 90.00
_cell_angle_gamma 90.00
loop_
_atom_site_label
_atom_site_fract_x
_atom_site_fract_y
_atom_site_fract_z
_atom_site_occupancy
Mg1 0.0000 0.0000 0.0000 1
Nb1 0.0000 0.0000 0.5000 1
Ge1 0.2500 0.2500 0.2500 1

No. 7
# KYAuS3 (PBE, optimized geometry)
# Crystal system: orthorhombic
# Final energy: -0.368 Ry per atom
# Total magnetic moment: 1.05 μB/cell
data_KYAuS3
_chemical_formula_sum 'K4 Y4 Au4 S12'
_space_group_name_H-M_alt 'C m c m'
_space_group_IT_number 63
_space_group_name_Hall '-C 2c 2'
_cell_length_a 3.9873
_cell_length_b 14.5712
_cell_length_c 10.3793
_cell_angle_alpha 90.00
_cell_angle_beta 90.00
_cell_angle_gamma 90.00
loop_
_atom_site_label
_atom_site_fract_x
_atom_site_fract_y
_atom_site_fract_z
_atom_site_occupancy
K1 0.0000 0.2500 0.2500 1
Y1 0.0000 0.0000 0.0000 1
Au1 0.0000 0.4660 0.7500 1
S1 0.0000 0.0733 0.7500 1
S2 0.0000 0.3733 0.5525 1

No. 8
# LiSmPd (PBE, optimized geometry)
# Crystal system: cubic
# Energy above the lowest structure with this stoichiometry: 0 meV per atom
# Total magnetic moment: 0.01 μB/cell
data_LiSmPd
_chemical_formula_sum 'Li4 Sm4 Pd4'
_space_group_name_H-M_alt 'F -4 3 m'
_space_group_IT_number 216
_space_group_name_Hall 'F -4 2 3'
_cell_length_a 6.6515
_cell_length_b 6.6515
_cell_length_c 6.6515
_cell_angle_alpha 90.00
_cell_angle_beta 90.00
_cell_angle_gamma 90.00
loop_
_atom_site_label
_atom_site_fract_x
_atom_site_fract_y
_atom_site_fract_z
_atom_site_occupancy
Li1 0.0000 0.0000 0.0000 1
Sm1 0.0000 0.0000 0.5000 1
Pd1 0.2500 0.2500 0.2500 1